No. 1
Computed, not measured: a PBEsol-optimized structure of In3Te at the meta-GGA SCAN level of DFT.

Cell: 4.7988 4.7988 4.7988 Å, 90.00 90.00 90.00°
Closest atoms and distances in Å follow each position.
Space group Pm-3m (No. 221)
One atom of each set of equivalent atoms:
In (0.0000, 0.0000, 0.5000) x3  8 In 3.39, 4 Te 3.39
Te (0.5000, 0.5000, 0.5000) x1  12 In 3.39

Values from the calculation:
* DOS(E_F): 2.0 states/eV per cell
* magnetization: 0.000 μB/atom
* formation energy (no corrections): -5 meV per atom
* crystal system: cubic

---

No. 2
Computed, not measured: a PBEsol-optimized structure of MoPb at the meta-GGA SCAN level of DFT.

Cell: 3.1594 5.1032 4.8000 Å, 90.00 90.00 90.00°
Closest atoms and distances in Å follow each position.
Space group Pmmn (No. 59, origin choice 2)
One atom of each set of equivalent atoms:
Mo (0.2500, 0.2500, 0.0910) x2  6 Pb 2.83-2.95, 6 Mo 3.13-3.16
Pb (0.2500, 0.7500, 0.3980) x2  6 Mo 2.83-2.95, 6 Pb 3.16

Values from the calculation:
* formation energy: 161 kJ/mol of formula units
* DOS(E_F): 2.6 states/eV per cell
* E above lowest polymorph: 11 meV/atom
* magnetization: 0.000 μB/atom
* crystal system: orthorhombic

---

No. 3
Computed, not measured: a PBEsol-optimized structure of K3HfGa at the meta-GGA SCAN level of DFT.

Cell: 6.2111 6.2111 6.2111 Å, 90.00 90.00 90.00°
Closest atoms and distances in Å follow each position.
Space group Pm-3m (No. 221)
One atom of each set of equivalent atoms:
K (0.0000, 0.0000, 0.5000) x3  2 Ga 3.11
Hf (0.5000, 0.5000, 0.5000) x1  12 K 4.39
Ga (0.0000, 0.0000, 0.0000) x1  6 K 3.11

Values from the calculation:
* formation energy: 602 kJ/mol of formula units
* DOS(E_F): 8.0 states/eV per cell
* magnetization: 0.498 μB/atom
* crystal system: cubic

---

No. 4
Computed, not measured: a PBEsol-optimized structure of TeMoPt2 at the meta-GGA SCAN level of DFT.

Cell: 2.9680 4.0369 5.6340 Å, 90.00 90.00 90.00°
Closest atoms and distances in Å follow each position.
Space group Pmmm (No. 47)
One atom of each set of equivalent atoms:
Te (0.0000, 0.0000, 0.0000) x1  2 Mo 2.82, 8 Pt 2.93, 2 Te 2.97
Mo (0.0000, 0.0000, 0.5000) x1  2 Te 2.82, 8 Pt 2.82, 2 Mo 2.97
Pt (0.5000, 0.5000, 0.2694) x2  1 Pt 2.60, 4 Mo 2.82

Values from the calculation:
* DOS(E_F): 3.4 states/eV per cell
* magnetization: 0.001 μB/atom
* formation energy (no corrections): 141 meV per atom
* crystal system: orthorhombic

---

No. 5
Computed, not measured: a PBEsol-optimized structure of ScCu13 at the meta-GGA SCAN level of DFT.

Cell: 11.2591 11.2591 11.2591 Å, 90.00 90.00 90.00°
Closest atoms and distances in Å follow each position.
Space group Fm-3c (No. 226)
One atom of each set of equivalent atoms:
Sc (0.2500, 0.2500, 0.2500) x8  24 Cu 3.28
Cu (0.0000, 0.0000, 0.0000) x8  12 Cu 2.43
Cu (0.0000, 0.1186, 0.1802) x96  9 Cu 2.37-2.53

Values from the calculation:
* formation energy: 31 kJ/mol of formula units
* DOS(E_F): 41.4 states/eV per cell
* magnetization: 0.000 μB/atom
* crystal system: cubic

---

No. 6
Computed, not measured: a PBEsol-optimized structure of LiTl2Os at the meta-GGA SCAN level of DFT.

Cell: 3.3631 3.3631 6.3081 Å, 90.00 90.00 90.00°
Closest atoms and distances in Å follow each position.
Space group P4/mmm (No. 123)
One atom of each set of equivalent atoms:
Li (0.0000, 0.0000, 0.0000) x1  8 Tl 2.85, 2 Os 3.15
Tl (0.5000, 0.5000, 0.2498) x2  4 Li 2.85, 4 Os 2.85, 2 Tl 3.15-3.16
Os (0.0000, 0.0000, 0.5000) x1  8 Tl 2.85, 2 Li 3.15

Values from the calculation:
* formation energy: 169 kJ/mol of formula units
* DOS(E_F): 1.1 states/eV per cell
* E above lowest polymorph: 0 meV/atom
* magnetization: 0.000 μB/atom
* crystal system: tetragonal

---

No. 7
Computed, not measured: a PBEsol-optimized structure of Al2CoIr at the meta-GGA SCAN level of DFT.

Cell: 2.7625 2.7625 24.5579 Å, 90.00 90.00 120.00°
Closest atoms and distances in Å follow each position.
Space group R3m (No. 160, hexagonal axes)
One atom of each set of equivalent atoms:
Al (0.0000, 0.0000, 0.0000) x3  3 Co 2.44
Al (0.0000, 0.0000, 0.2391) x3  3 Ir 2.56, 9 Al 2.76-2.81
Co (0.0000, 0.0000, 0.7418) x3  3 Al 2.44, 3 Ir 2.58
Ir (0.0000, 0.0000, 0.4911) x3  3 Al 2.56, 3 Co 2.58, 6 Ir 2.76

Values from the calculation:
* formation energy: -93 kJ/mol of formula units
* DOS(E_F): 4.4 states/eV per cell
* E above lowest polymorph: 735 meV/atom
* magnetization: 0.319 μB/atom
* crystal system: trigonal

---

No. 8
Computed, not measured: a PBEsol-optimized structure of MgAlAu2 at the meta-GGA SCAN level of DFT.

Cell: 3.1802 3.1802 6.5706 Å, 90.00 90.00 90.00°
Closest atoms and distances in Å follow each position.
Space group P4/mmm (No. 123)
One atom of each set of equivalent atoms:
Mg (0.0000, 0.0000, 0.0000) x1  8 Au 2.86, 4 Mg 3.18
Al (0.0000, 0.0000, 0.5000) x1  8 Au 2.71
Au (0.5000, 0.5000, 0.2697) x2  4 Al 2.71, 4 Mg 2.86, 1 Au 3.03

Values from the calculation:
* formation energy: -254 kJ/mol of formula units
* DOS(E_F): 1.0 states/eV per cell
* magnetization: 0.000 μB/atom
* crystal system: tetragonal